*A*
First-principles (GGA-PBE) data for a relaxed structure of BaLiV3, as listed in Alexandria.

Geometry as POSCAR:
```
BaLiV3
1.0
4.826 0.000 0.000
0.000 4.826 0.000
0.000 0.000 4.826
V Ba Li
3 1 1
direct
0.000 0.500 0.000
0.000 0.000 0.500
0.500 0.000 0.000
0.000 0.000 0.000
0.500 0.500 0.500
```

Space group   Pm-3m (221)

*B*
First-principles (GGA-PBE) data for a relaxed structure of BaLiV3, as listed in Alexandria.

Geometry as POSCAR:
```
BaLiV3
1.0
-3.539 -3.365 -1.012
0.900 -2.257 4.355
-3.397 2.907 2.209
V Ba Li
3 1 1
direct
0.000 0.500 0.000
0.000 0.000 0.500
0.500 0.000 0.000
0.500 0.500 0.500
0.000 0.000 0.000
```

Space group   Pm-3m (221)

Tell me which of them is the most stable. Sure, it is *B*.

*A*
First-principles (GGA-PBE) data for a relaxed structure of Ba2LiV, as listed in Alexandria.

Geometry as POSCAR:
```
Ba2LiV
1.0
-2.094 -0.168 -8.957
-7.322 -5.269 1.811
-6.781 0.309 -3.145
V Ba Li
2 4 2
direct
0.000 0.000 0.000
0.750 0.250 0.500
0.629 0.125 0.250
0.121 0.625 0.250
0.375 0.371 0.750
0.875 0.879 0.750
0.500 0.500 0.000
0.250 0.750 0.500
```

Space group   I-42d (122)

*B*
First-principles (GGA-PBE) data for a relaxed structure of Ba2LiV, as listed in Alexandria.

Geometry as POSCAR:
```
Ba2LiV
1.0
1.211 -3.903 4.372
-4.287 -1.595 3.859
-2.299 -5.522 -0.196
V Ba Li
1 2 1
direct
0.500 0.500 0.500
0.250 0.250 0.250
0.750 0.750 0.750
0.000 0.000 0.000
```

Space group   Fm-3m (225)

Tell me which of them is the most stable. Sure, it is *B*.

*A*
First-principles (GGA-PBE) data for a relaxed structure of BaLiW2, as listed in Alexandria.

Geometry as POSCAR:
```
BaLiW2
1.0
5.479 0.000 0.000
0.000 3.899 0.000
0.000 0.000 3.899
Ba Li W
1 1 2
direct
0.500 0.500 0.000
0.500 0.000 0.500
0.000 0.000 0.000
0.000 0.500 0.500
```

Space group   P4/mmm (123)

*B*
First-principles (GGA-PBE) data for a relaxed structure of BaLiW2, as listed in Alexandria.

Geometry as POSCAR:
```
BaLiW2
1.0
3.028 0.020 0.000
-1.184 2.787 0.000
0.000 0.000 10.428
Ba Li W
1 1 2
direct
0.000 0.000 0.482
0.500 0.500 0.801
0.000 0.000 0.018
0.500 0.500 0.200
```

Space group   Cmm2 (35)

*C*
First-principles (GGA-PBE) data for a relaxed structure of BaLiW2, as listed in Alexandria.

Geometry as POSCAR:
```
BaLiW2
1.0
-2.362 1.924 0.680
-2.087 -3.380 2.313
2.702 1.619 4.805
Ba Li W
1 1 2
direct
0.500 0.000 0.500
0.000 0.500 0.500
0.000 0.000 0.000
0.500 0.500 0.000
```

Space group   Pmmm (47)

Tell me which of them is the most stable. Sure, it is *B*.

*A*
First-principles (GGA-PBE) data for a relaxed structure of BaLiW2, as listed in Alexandria.

Geometry as POSCAR:
```
BaLiW2
1.0
4.725 0.001 0.003
-2.238 5.915 -0.002
0.248 0.777 2.929
Ba Li W
1 1 2
direct
0.000 0.500 0.500
0.500 0.500 0.000
0.000 0.000 0.000
0.500 0.000 0.500
```

Space group   C2/m (12)

*B*
First-principles (GGA-PBE) data for a relaxed structure of BaLiW2, as listed in Alexandria.

Geometry as POSCAR:
```
BaLiW2
1.0
-0.831 -2.379 -1.252
2.735 0.003 -0.660
2.111 -5.325 8.716
Ba Li W
1 1 2
direct
0.500 0.500 0.250
0.500 0.500 0.750
0.000 0.000 0.963
0.000 0.000 0.537
```

Space group   Cmmm (65)

*C*
First-principles (GGA-PBE) data for a relaxed structure of BaLiW2, as listed in Alexandria.

Geometry as POSCAR:
```
BaLiW2
1.0
-0.363 2.890 4.380
-3.398 -0.556 0.086
-0.374 -4.221 2.754
Ba Li W
1 1 2
direct
0.500 0.250 0.250
0.500 0.750 0.750
0.000 0.933 0.931
0.000 0.567 0.569
```

Space group   P2/m (10)

*D*
First-principles (GGA-PBE) data for a relaxed structure of BaLiW2, as listed in Alexandria.

Geometry as POSCAR:
```
BaLiW2
1.0
-3.693 -2.376 1.865
-1.910 1.424 4.133
-4.333 1.995 0.063
Ba W Li
1 2 1
direct
0.500 0.500 0.500
0.250 0.250 0.250
0.750 0.750 0.750
0.000 0.000 0.000
```

Space group   Fm-3m (225)

Tell me which of them is the most stable. Sure, it is *C*.

*A*
First-principles (GGA-PBE) data for a relaxed structure of BaLiW2, as listed in Alexandria.

Geometry as POSCAR:
```
BaLiW2
1.0
2.877 0.000 0.000
0.000 2.877 0.000
0.000 0.000 9.461
Ba Li W
1 1 2
direct
0.500 0.500 0.250
0.500 0.500 0.750
0.000 0.000 0.935
0.000 0.000 0.565
```

Space group   P4/mmm (123)

*B*
First-principles (GGA-PBE) data for a relaxed structure of BaLiW2, as listed in Alexandria.

Geometry as POSCAR:
```
BaLiW2
1.0
10.394 0.019 0.011
9.882 3.221 0.011
9.882 1.579 2.808
Ba Li W
1 1 2
direct
0.496 0.496 0.496
0.267 0.267 0.267
0.007 0.007 0.007
0.729 0.729 0.729
```

Space group   R3m (160)

Tell me which of them is the most stable. Sure, it is *B*.

*A*
First-principles (GGA-PBE) data for a relaxed structure of BaLi3W, as listed in Alexandria.

Geometry as POSCAR:
```
BaLi3W
1.0
-0.733 -0.690 5.222
-4.072 -3.269 -1.003
3.340 -4.137 -0.078
Ba W Li
1 1 3
direct
0.500 0.500 0.500
0.000 0.000 0.000
0.000 0.500 0.000
0.000 0.000 0.500
0.500 0.000 0.000
```

Space group   Pm-3m (221)

*B*
First-principles (GGA-PBE) data for a relaxed structure of BaLi3W, as listed in Alexandria.

Geometry as POSCAR:
```
BaLi3W
1.0
4.779 0.000 0.000
0.000 4.779 0.000
0.000 0.000 4.779
Ba W Li
1 1 3
direct
0.000 0.000 0.000
0.500 0.500 0.500
0.000 0.500 0.000
0.000 0.000 0.500
0.500 0.000 0.000
```

Space group   Pm-3m (221)

Tell me which of them is the most stable. Sure, it is *A*.